VASP calculation (PBE) on a geometry-optimized K4CePm3S8 structure.

Values from the calculation:
Energy = -87.09 eV for the cell shown
Magnetic moment = 1.006 μB/cell
Crystal system = trigonal

Cell and atoms, written as POSCAR:
```
K4CePm3S8
1.0
-7.4149 -1.3984 -3.6080
-2.8734 -3.8499 7.3974
3.0086 7.7890 0.4923
Pm S K Ce
3 8 4 1
direct
0.0000 0.5000 0.5000
0.5000 0.5000 0.5000
0.5000 0.5000 0.0000
0.7638 0.2939 0.5277
0.2362 0.7061 0.9701
0.2362 0.7061 0.4723
0.2645 0.2937 0.5291
0.7355 0.7063 0.4709
0.7638 0.2939 0.0299
0.2661 0.2939 0.0299
0.7339 0.7061 0.9701
0.0000 0.0000 0.5000
0.0000 0.0000 0.0000
0.5000 0.0000 0.0000
0.5000 0.0000 0.5000
0.0000 0.5000 0.0000
```

=====

VASP calculation (PBE) on a geometry-optimized CaNiAu structure.

Values from the calculation:
Magnetic moment = 0.000 μB/cell
Calculated formation energy = -374 meV/atom
Crystal system = hexagonal

Cell and atoms, written as POSCAR:
```
CaNiAu
1.0
-1.1323 -0.8429 -4.0928
-2.4757 -1.4016 3.2634
-2.0297 3.3069 -0.1195
Ni Ca Au
1 1 1
direct
0.3333 0.6667 0.8328
0.6667 0.3333 0.3336
0.0000 0.0000 0.8336
```

=====

VASP calculation (PBE) on a geometry-optimized MoH2W structure.

Values from the calculation:
Energy = -26.93 eV for the cell shown
Magnetic moment = 0.000 μB/cell
Crystal system = cubic

Cell and atoms, written as POSCAR:
```
MoH2W
1.0
0.0000 2.6849 2.6849
2.6849 0.0000 2.6849
2.6849 2.6849 0.0000
H W Mo
2 1 1
direct
0.7500 0.7500 0.7500
0.2500 0.2500 0.2500
0.5000 0.5000 0.5000
0.0000 0.0000 0.0000
```

=====

VASP calculation (PBE) on a geometry-optimized PmLuCuPb structure.

Values from the calculation:
Magnetic moment = 0.009 μB/cell
Calculated formation energy = -269 meV/atom
Crystal system = cubic

Cell and atoms, written as POSCAR:
```
PmLuCuPb
1.0
5.2226 0.0000 0.0000
2.6113 4.5229 0.0000
2.6113 1.5076 4.2642
Cu Lu Pm Pb
1 1 1 1
direct
0.5000 0.5000 0.5000
0.2500 0.2500 0.2500
0.7500 0.7500 0.7500
0.0000 0.0000 0.0000
```

=====

> The highest magnetic moment belongs to which entry?

K4CePm3S8